Entry 1:
{
  "formula": "In2CuRe",
  "functional": "PBE",
  "state": "optimized geometry",
  "space_group": "I-4m2, No. 119",
  "relative_energy_mev_per_atom": 63,
  "cell": [[3.908, 0.000, 0.000], [0.000, 3.908, 0.000], [0.000, 0.000, 9.178]],
  "species": ["In", "In", "In", "In", "Cu", "Cu", "Re", "Re"],
  "frac_coords": [[0.000, 0.000, 0.000], [0.000, 0.500, 0.250], [0.500, 0.000, 0.750], [0.500, 0.500, 0.500], [0.000, 0.000, 0.500], [0.500, 0.500, 0.000], [0.000, 0.500, 0.750], [0.500, 0.000, 0.250]]
}

=====

Entry 2:
{
  "formula": "In3CuRe",
  "functional": "PBE",
  "state": "optimized geometry",
  "space_group": "Pm-3m, No. 221",
  "relative_energy_mev_per_atom": 279,
  "cell": [[4.932, 0.000, 0.000], [0.000, 4.932, 0.000], [0.000, 0.000, 4.932]],
  "species": ["In", "In", "In", "Cu", "Re"],
  "frac_coords": [[0.000, 0.000, 0.500], [0.000, 0.500, 0.000], [0.500, 0.000, 0.000], [0.000, 0.000, 0.000], [0.500, 0.500, 0.500]]
}

=====

Entry 3:
{
  "formula": "InCu2Re",
  "functional": "PBE",
  "state": "optimized geometry",
  "space_group": "P4/mmm, No. 123",
  "cell": [[4.028, 0.000, 0.000], [0.000, 4.028, 0.000], [0.000, 0.000, 3.648]],
  "species": ["In", "Cu", "Cu", "Re"],
  "frac_coords": [[0.000, 0.000, 0.000], [0.000, 0.500, 0.500], [0.500, 0.000, 0.500], [0.500, 0.500, 0.000]]
}

=====

Entry 4:
{
  "formula": "InCu2Re",
  "functional": "PBE",
  "state": "optimized geometry",
  "space_group": "Cmmm, No. 65",
  "cell": [[5.537, 0.000, 0.000], [0.000, 7.851, 0.000], [0.000, 0.000, 2.752]],
  "species": ["In", "In", "Cu", "Cu", "Cu", "Cu", "Re", "Re"],
  "frac_coords": [[0.000, 0.000, 0.000], [0.500, 0.500, 0.000], [0.250, 0.250, 0.500], [0.250, 0.750, 0.500], [0.750, 0.250, 0.500], [0.750, 0.750, 0.500], [0.000, 0.500, 0.000], [0.500, 0.000, 0.000]]
}

=====

Entry 5:
{
  "formula": "In3CuRe",
  "functional": "PBE",
  "state": "optimized geometry",
  "space_group": "Pm-3m, No. 221",
  "relative_energy_mev_per_atom": 0,
  "cell": [[5.217, 0.000, 0.000], [0.000, 5.217, 0.000], [0.000, 0.000, 5.217]],
  "species": ["In", "In", "In", "Cu", "Re"],
  "frac_coords": [[0.000, 0.000, 0.500], [0.000, 0.500, 0.000], [0.500, 0.000, 0.000], [0.500, 0.500, 0.500], [0.000, 0.000, 0.000]]
}

=====

Entry 6:
{
  "formula": "InCu2Re",
  "functional": "PBE",
  "state": "optimized geometry",
  "space_group": "F-43m, No. 216",
  "cell": [[6.269, 0.000, 0.000], [0.000, 6.269, 0.000], [0.000, 0.000, 6.269]],
  "species": ["In", "In", "In", "In", "Cu", "Cu", "Cu", "Cu", "Cu", "Cu", "Cu", "Cu", "Re", "Re", "Re", "Re"],
  "frac_coords": [[0.000, 0.000, 0.000], [0.000, 0.500, 0.500], [0.500, 0.000, 0.500], [0.500, 0.500, 0.000], [0.000, 0.000, 0.500], [0.000, 0.500, 0.000], [0.250, 0.250, 0.250], [0.250, 0.750, 0.750], [0.500, 0.000, 0.000], [0.500, 0.500, 0.500], [0.750, 0.250, 0.750], [0.750, 0.750, 0.250], [0.250, 0.250, 0.750], [0.250, 0.750, 0.250], [0.750, 0.250, 0.250], [0.750, 0.750, 0.750]]
}

=====

Entry 7:
{
  "formula": "InCu2Re",
  "functional": "PBE",
  "state": "optimized geometry",
  "space_group": "Immm, No. 71",
  "cell": [[2.798, 0.000, 0.000], [0.000, 4.764, 0.000], [0.000, 0.000, 9.372]],
  "species": ["In", "In", "Cu", "Cu", "Cu", "Cu", "Re", "Re"],
  "frac_coords": [[0.000, 0.000, 0.000], [0.500, 0.500, 0.500], [0.000, 0.500, 0.240], [0.000, 0.500, 0.760], [0.500, 0.000, 0.260], [0.500, 0.000, 0.740], [0.000, 0.000, 0.500], [0.500, 0.500, 0.000]]
}

=====

Entry 8:
{
  "formula": "In2CuRe",
  "functional": "PBE",
  "state": "optimized geometry",
  "space_group": "Fm-3m, No. 225",
  "relative_energy_mev_per_atom": 129,
  "cell": [[6.559, 0.000, 0.000], [0.000, 6.559, 0.000], [0.000, 0.000, 6.559]],
  "species": ["In", "In", "In", "In", "In", "In", "In", "In", "Cu", "Cu", "Cu", "Cu", "Re", "Re", "Re", "Re"],
  "frac_coords": [[0.250, 0.250, 0.250], [0.250, 0.250, 0.750], [0.250, 0.750, 0.250], [0.250, 0.750, 0.750], [0.750, 0.250, 0.250], [0.750, 0.250, 0.750], [0.750, 0.750, 0.250], [0.750, 0.750, 0.750], [0.000, 0.000, 0.000], [0.000, 0.500, 0.500], [0.500, 0.000, 0.500], [0.500, 0.500, 0.000], [0.000, 0.000, 0.500], [0.000, 0.500, 0.000], [0.500, 0.000, 0.000], [0.500, 0.500, 0.500]]
}

=====

Entry 9:
{
  "formula": "In2CuRe",
  "functional": "PBE",
  "state": "optimized geometry",
  "space_group": "Immm, No. 71",
  "relative_energy_mev_per_atom": 51,
  "cell": [[3.982, 0.000, 0.000], [0.000, 4.079, 0.000], [0.000, 0.000, 8.570]],
  "species": ["In", "In", "In", "In", "Cu", "Cu", "Re", "Re"],
  "frac_coords": [[0.000, 0.000, 0.248], [0.000, 0.000, 0.752], [0.500, 0.500, 0.252], [0.500, 0.500, 0.748], [0.000, 0.500, 0.500], [0.500, 0.000, 0.000], [0.000, 0.500, 0.000], [0.500, 0.000, 0.500]]
}

=====

Entry 10:
{
  "formula": "In2CuRe",
  "functional": "PBE",
  "state": "optimized geometry",
  "space_group": "P4/mmm, No. 123",
  "relative_energy_mev_per_atom": 99,
  "cell": [[2.975, 0.000, 0.000], [0.000, 2.975, 0.000], [0.000, 0.000, 7.963]],
  "species": ["In", "In", "Cu", "Re"],
  "frac_coords": [[0.000, 0.000, 0.247], [0.000, 0.000, 0.753], [0.500, 0.500, 0.000], [0.500, 0.500, 0.500]]
}

=====

Entry 11:
{
  "formula": "InCu2Re",
  "functional": "PBE",
  "state": "optimized geometry",
  "space_group": "I4/mmm, No. 139",
  "cell": [[4.048, 0.000, 0.000], [0.000, 4.048, 0.000], [0.000, 0.000, 7.314]],
  "species": ["In", "In", "Cu", "Cu", "Cu", "Cu", "Re", "Re"],
  "frac_coords": [[0.000, 0.000, 0.000], [0.500, 0.500, 0.500], [0.000, 0.500, 0.250], [0.000, 0.500, 0.750], [0.500, 0.000, 0.250], [0.500, 0.000, 0.750], [0.000, 0.000, 0.500], [0.500, 0.500, 0.000]]
}

=====

Entry 12:
{
  "formula": "In2CuRe",
  "functional": "PBE",
  "state": "optimized geometry",
  "space_group": "F-43m, No. 216",
  "relative_energy_mev_per_atom": 325,
  "cell": [[6.567, 0.000, 0.000], [0.000, 6.567, 0.000], [0.000, 0.000, 6.567]],
  "species": ["In", "In", "In", "In", "In", "In", "In", "In", "Cu", "Cu", "Cu", "Cu", "Re", "Re", "Re", "Re"],
  "frac_coords": [[0.000, 0.000, 0.000], [0.000, 0.500, 0.500], [0.250, 0.250, 0.250], [0.250, 0.750, 0.750], [0.500, 0.000, 0.500], [0.500, 0.500, 0.000], [0.750, 0.250, 0.750], [0.750, 0.750, 0.250], [0.000, 0.000, 0.500], [0.000, 0.500, 0.000], [0.500, 0.000, 0.000], [0.500, 0.500, 0.500], [0.250, 0.250, 0.750], [0.250, 0.750, 0.250], [0.750, 0.250, 0.250], [0.750, 0.750, 0.750]]
}

=====

Entry 13:
{
  "formula": "InCu2Re",
  "functional": "PBE",
  "state": "optimized geometry",
  "space_group": "Pmmm, No. 47",
  "cell": [[2.761, 0.000, 0.000], [0.000, 3.852, 0.000], [0.000, 0.000, 5.695]],
  "species": ["In", "Cu", "Cu", "Re"],
  "frac_coords": [[0.000, 0.000, 0.000], [0.500, 0.500, 0.276], [0.500, 0.500, 0.724], [0.000, 0.000, 0.500]]
}

=====

Entry 14:
{
  "formula": "InCu2Re",
  "functional": "PBE",
  "state": "optimized geometry",
  "space_group": "I-4m2, No. 119",
  "cell": [[3.831, 0.000, 0.000], [0.000, 3.831, 0.000], [0.000, 0.000, 8.192]],
  "species": ["In", "In", "Cu", "Cu", "Cu", "Cu", "Re", "Re"],
  "frac_coords": [[0.000, 0.000, 0.000], [0.500, 0.500, 0.500], [0.000, 0.000, 0.500], [0.000, 0.500, 0.250], [0.500, 0.000, 0.750], [0.500, 0.500, 0.000], [0.000, 0.500, 0.750], [0.500, 0.000, 0.250]]
}

=====

Entry 15:
{
  "formula": "In2CuRe",
  "functional": "PBE",
  "state": "optimized geometry",
  "space_group": "P2/m, No. 10",
  "relative_energy_mev_per_atom": 54,
  "cell": [[2.918, 0.000, 0.000], [0.000, 4.069, 0.000], [-0.034, 0.000, 5.925]],
  "species": ["In", "In", "Cu", "Re"],
  "frac_coords": [[0.002, 0.000, 0.251], [0.998, 0.000, 0.749], [0.500, 0.500, 0.500], [0.500, 0.500, 0.000]]
}

=====

Entry 16:
{
  "formula": "In2CuReRh",
  "functional": "PBE",
  "state": "optimized geometry",
  "space_group": "P4/mmm, No. 123",
  "cell": [[4.689, 0.000, 0.000], [0.000, 4.689, 0.000], [0.000, 0.000, 4.578]],
  "species": ["In", "In", "Cu", "Re", "Rh"],
  "frac_coords": [[0.000, 0.500, 0.000], [0.500, 0.000, 0.000], [0.000, 0.000, 0.000], [0.500, 0.500, 0.500], [0.000, 0.000, 0.500]]
}

=====

Energy of formation (eV/atom)
0.498, 1.139, 0.380, 0.374, 0.860, 0.613, 0.487, 0.564, 0.486, 0.533, 0.550, 0.759, 0.413, 0.515, 0.488, 1.253